Version a
DFT (SCAN) results for YZr at its PBEsol-relaxed geometry.

The structure in POSCAR format:
```
YZr
1.0
3.3539 0.0000 0.0000
-1.6770 2.9046 0.0000
0.0000 0.0000 5.3111
Zr Y
1 1
Direct
0.6667 0.3333 0.5000 Zr
0.0000 0.0000 0.0000 Y
```

N(E_F) = 2.95 states/eV/f.u.
Total magnetic moment = 0.00 μB per formula unit

---

Version b
DFT (SCAN) results for YZr at its PBEsol-relaxed geometry.

The structure in POSCAR format:
```
YZr
1.0
3.3052 0.0000 0.0000
1.6526 2.8624 0.0000
1.6526 0.9541 10.8788
Y Zr
2 2
Direct
0.1196 0.1196 0.6413 Y
0.8804 0.8804 0.3587 Y
0.3712 0.3712 0.8864 Zr
0.6288 0.6288 0.1136 Zr
```

N(E_F) = 2.50 states/eV/f.u.
Total magnetic moment = 0.00 μB per formula unit

---

Which of them is the least stable? Correct choice: version b.

---

Version a
DFT (SCAN) results for YZr at its PBEsol-relaxed geometry.

The structure in POSCAR format:
```
YZr
1.0
-0.2537 -2.3567 -2.3336
5.1904 -0.7660 0.2092
-0.7755 -4.1010 4.2258
Y Zr
2 2
Direct
0.5000 0.5000 0.3997 Y
0.0000 0.0000 0.6003 Y
0.0000 0.5000 0.9266 Zr
0.5000 0.0000 0.0734 Zr
```

N(E_F) = 2.89 states/eV/f.u.
Total magnetic moment = 0.00 μB per formula unit

---

Version b
DFT (SCAN) results for YZr at its PBEsol-relaxed geometry.

The structure in POSCAR format:
```
YZr
1.0
-2.8194 -2.8139 2.0929
-2.9613 -2.4053 -2.3860
0.5346 -4.4478 -0.4228
Zr Y
1 1
Direct
0.2500 0.2500 0.2500 Zr
0.0000 0.0000 0.0000 Y
```

N(E_F) = 2.70 states/eV/f.u.
Total magnetic moment = 0.00 μB per formula unit

---

Which of them is the least stable? Correct choice: version b.